(1)
Compound: BC4
Source: Alexandria
Functional: PBE
Structure: relaxed

The structure belongs to space group Imma (No. 74); the cell edges are 2.512, 13.081 and 3.705 Å and the angles 90.00°, 90.00° and 90.00°. Symmetry generates all atoms from B at (0.000, 0.250, 0.080), C at (0.000, 0.048, 0.129) and C at (0.000, 0.142, 0.867).

As for the formation energy: 0.281 eV per atom. As for the energy: -8.433 eV per atom. The relative energy among the computed polymorphs comes out at 57 meV/atom.

=====

(2)
Compound: BeVSiAs2
Source: Alexandria
Functional: PBE
Structure: relaxed

The structure belongs to space group P4/mmm (No. 123); the cell edges are 4.687, 4.687 and 4.363 Å and the angles 90.00°, 90.00° and 90.00°. Symmetry generates all atoms from Be at (0.000, 0.000, 0.000), V at (0.000, 0.000, 0.500), Si at (0.500, 0.500, 0.000) and As at (0.000, 0.500, 0.500).

The formation energy (no corrections) comes out at 733 meV per atom. As for the energy: -4.780 eV per atom.

=====

(3)
Compound: YMn2Co
Source: Alexandria
Functional: PBE
Structure: relaxed

The structure belongs to space group Pm (No. 6); the cell edges are 3.225, 4.087 and 5.527 Å and the angles 90.00°, 106.86° and 90.00°. Symmetry generates all atoms from Y at (0.000, 0.000, 0.000), Mn at (0.308, 0.500, 0.618), Mn at (0.734, 0.000, 0.471) and Co at (0.621, 0.500, 0.243).

As for the formation energy: 0.274 eV per atom. As for the energy: -7.703 eV per atom. The relative energy among the computed polymorphs comes out at 173 meV/atom.

=====

(4)
Compound: Cu3Se2I
Source: Alexandria
Functional: PBE
Structure: relaxed

The structure belongs to space group Cc (No. 9); the cell edges are 6.954, 12.122 and 6.915 Å and the angles 90.00°, 108.72° and 90.00°. Symmetry generates all atoms from Cu at (0.000, 0.083, 0.000), Cu at (0.047, 0.235, 0.503), Cu at (0.058, 0.399, 0.038), Se at (0.407, 0.255, 0.640), Se at (0.414, 0.417, 0.138) and I at (0.408, 0.085, 0.137).

The formation energy (no corrections) comes out at -134 meV per atom. As for the energy: -3.602 eV per atom.